[1]
The following is a DFT calculation (meta-GGA SCAN) of KNaCl2 at its PBEsol-relaxed geometry. Values from VASP.

Calculated values
**VASP energy**: -9.2214 eV/atom
**Space group**: R-3m (166)
**Formation energy without anion corrections**: -2.10 eV per atom

Quantum ESPRESSO input file:
```
&SYSTEM
  ibrav = 0, nat = 12, ntyp = 3
/
ATOMIC_SPECIES
K 39.10 K.upf
Na 22.99 Na.upf
Cl 35.45 Cl.upf
CELL_PARAMETERS angstrom
4.1642 0.0000 0.0000
-2.0821 3.6063 0.0000
0.0000 0.0000 20.6783
ATOMIC_POSITIONS angstrom
K 0.0000 0.0000 0.0000
K 0.0000 2.4042 13.7856
K 2.0821 1.2021 6.8928
Na 0.0000 0.0000 10.3392
Na 0.0000 2.4042 3.4464
Na 2.0821 1.2021 17.2319
Cl 0.0000 0.0000 4.9865
Cl 0.0000 0.0000 15.6918
Cl 0.0000 2.4042 8.7990
Cl 0.0000 2.4042 18.7721
Cl 2.0821 1.2021 1.9063
Cl 2.0821 1.2021 11.8793
```

=====

[2]
The following is a DFT calculation (meta-GGA SCAN) of KNa4Cl5 at its PBEsol-relaxed geometry. Values from VASP.

Calculated values
**Energy above the lowest structure with this stoichiometry**: 20 meV per atom
**VASP energy**: -8.5426 eV/atom
**Space group**: I4/mmm (139)
**Formation energy without anion corrections**: -2.03 eV per atom

Quantum ESPRESSO input file:
```
&SYSTEM
  ibrav = 0, nat = 10, ntyp = 3
/
ATOMIC_SPECIES
K 39.10 K.upf
Na 22.99 Na.upf
Cl 35.45 Cl.upf
CELL_PARAMETERS angstrom
-2.0457 2.0457 14.2868
2.0457 -2.0457 14.2868
2.0457 2.0457 -14.2868
ATOMIC_POSITIONS angstrom
K 0.0000 0.0000 0.0000
Na 0.0000 0.0000 5.7700
Na 0.0000 0.0000 11.3181
Na 0.0000 0.0000 17.2555
Na 0.0000 0.0000 22.8036
Cl 0.0000 0.0000 3.0289
Cl 0.0000 0.0000 8.5298
Cl 0.0000 0.0000 14.2868
Cl 0.0000 0.0000 20.0439
Cl 0.0000 0.0000 25.5448
```

=====

[3]
The following is a DFT calculation (meta-GGA SCAN) of K2NaCl3 at its PBEsol-relaxed geometry. Values from VASP.

Calculated values
**Energy above the lowest structure with this stoichiometry**: 18 meV per atom
**VASP energy**: -9.5715 eV/atom
**Space group**: I4/mmm (139)
**Formation energy without anion corrections**: -2.10 eV per atom

Quantum ESPRESSO input file:
```
&SYSTEM
  ibrav = 0, nat = 12, ntyp = 3
/
ATOMIC_SPECIES
K 39.10 K.upf
Na 22.99 Na.upf
Cl 35.45 Cl.upf
CELL_PARAMETERS angstrom
4.3030 0.0000 0.0000
0.0000 4.3030 0.0000
0.0000 0.0000 18.0212
ATOMIC_POSITIONS angstrom
K 0.0000 0.0000 2.9961
K 0.0000 0.0000 15.0251
K 2.1515 2.1515 6.0145
K 2.1515 2.1515 12.0067
Na 0.0000 0.0000 9.0106
Na 2.1515 2.1515 0.0000
Cl 0.0000 0.0000 0.0000
Cl 0.0000 0.0000 6.1568
Cl 0.0000 0.0000 11.8644
Cl 2.1515 2.1515 2.8538
Cl 2.1515 2.1515 9.0106
Cl 2.1515 2.1515 15.1673
```

=====

[4]
The following is a DFT calculation (meta-GGA SCAN) of KNa4Cl5 at its PBEsol-relaxed geometry. Values from VASP.

Calculated values
**Energy above the lowest structure with this stoichiometry**: 7 meV per atom
**VASP energy**: -8.5562 eV/atom
**Space group**: C2/m (12)
**Formation energy without anion corrections**: -2.05 eV per atom

Quantum ESPRESSO input file:
```
&SYSTEM
  ibrav = 0, nat = 10, ntyp = 3
/
ATOMIC_SPECIES
K 39.10 K.upf
Na 22.99 Na.upf
Cl 35.45 Cl.upf
CELL_PARAMETERS angstrom
6.7226 -2.0181 0.0000
6.7226 2.0181 0.0000
-4.8998 0.0000 8.6842
ATOMIC_POSITIONS angstrom
K 0.0000 0.0000 0.0000
Na -1.1798 0.0000 6.8767
Na 2.4822 0.0000 5.1938
Na 6.0633 0.0000 3.4904
Na 9.7253 0.0000 1.8075
Cl -2.4499 0.0000 4.3421
Cl 1.2255 0.0000 2.7231
Cl 4.7044 0.0000 0.9721
Cl 3.8410 0.0000 7.7122
Cl 7.3200 0.0000 5.9611
```

=====

[5]
The following is a DFT calculation (meta-GGA SCAN) of K2NaNdCl6 at its PBEsol-relaxed geometry. Values from VASP.

Calculated values
**VASP energy**: -13.4982 eV/atom
**Space group**: Fm-3m (225)
**Formation energy without anion corrections**: -2.27 eV per atom

Quantum ESPRESSO input file:
```
&SYSTEM
  ibrav = 0, nat = 10, ntyp = 4
/
ATOMIC_SPECIES
K 39.10 K.upf
Na 22.99 Na.upf
Nd 144.24 Nd.upf
Cl 35.45 Cl.upf
CELL_PARAMETERS angstrom
0.0000 5.3554 5.3554
5.3554 0.0000 5.3554
5.3554 5.3554 0.0000
ATOMIC_POSITIONS angstrom
K 2.6777 2.6777 2.6777
K 8.0331 8.0331 8.0331
Na 0.0000 0.0000 0.0000
Nd 5.3554 5.3554 5.3554
Cl 5.3554 5.3554 2.6718
Cl 5.3554 2.6718 5.3554
Cl 8.0390 5.3554 5.3554
Cl 2.6718 5.3554 5.3554
Cl 5.3554 8.0390 5.3554
Cl 5.3554 5.3554 8.0390
```

=====

[6]
The following is a DFT calculation (meta-GGA SCAN) of K5NaS4Cl2O12 at its PBEsol-relaxed geometry. Values from VASP.

Calculated values
**VASP energy**: -9.2068 eV/atom
**Space group**: P4/mnc (128)
**Formation energy without anion corrections**: -1.91 eV per atom

Quantum ESPRESSO input file:
```
&SYSTEM
  ibrav = 0, nat = 48, ntyp = 5
/
ATOMIC_SPECIES
K 39.10 K.upf
Na 22.99 Na.upf
S 32.06 S.upf
Cl 35.45 Cl.upf
O 16.00 O.upf
CELL_PARAMETERS angstrom
8.5381 0.0000 0.0000
0.0000 8.5381 0.0000
0.0000 0.0000 11.5262
ATOMIC_POSITIONS angstrom
K 0.0000 0.0000 0.0000
K 1.6093 2.6598 2.8816
K 1.6093 2.6598 8.6447
K 2.6598 6.9289 2.8816
K 2.6598 6.9289 8.6447
K 4.2691 4.2691 5.7631
K 5.8783 1.6093 2.8816
K 5.8783 1.6093 8.6447
K 6.9289 5.8783 2.8816
K 6.9289 5.8783 8.6447
Na 0.0000 0.0000 5.7631
Na 4.2691 4.2691 0.0000
S 0.6293 5.1408 5.7631
S 0.8717 4.8984 0.0000
S 3.3974 0.6293 5.7631
S 3.6397 0.8717 0.0000
S 4.8984 7.6664 0.0000
S 5.1408 7.9088 5.7631
S 7.6664 3.6397 0.0000
S 7.9088 3.3974 5.7631
Cl 0.0000 0.0000 3.0319
Cl 0.0000 0.0000 8.4943
Cl 4.2691 4.2691 2.7312
Cl 4.2691 4.2691 8.7951
O 0.3399 2.3007 5.7631
O 0.7568 5.6950 1.2267
O 0.7568 5.6950 10.2996
O 1.4260 5.0258 4.5365
O 1.4260 5.0258 6.9898
O 1.9683 3.9291 0.0000
O 2.3007 8.1982 5.7631
O 2.8431 0.7568 1.2267
O 2.8431 0.7568 10.2996
O 3.5123 1.4260 4.5365
O 3.5123 1.4260 6.9898
O 3.9291 6.5698 0.0000
O 4.6090 1.9683 0.0000
O 5.0258 7.1122 4.5365
O 5.0258 7.1122 6.9898
O 5.6950 7.7814 1.2267
O 5.6950 7.7814 10.2996
O 6.2374 0.3399 5.7631
O 6.5698 4.6090 0.0000
O 7.1122 3.5123 4.5365
O 7.1122 3.5123 6.9898
O 7.7814 2.8431 1.2267
O 7.7814 2.8431 10.2996
O 8.1982 6.2374 5.7631
```

=====

[7]
The following is a DFT calculation (meta-GGA SCAN) of K2NaS2ClO6 at its PBEsol-relaxed geometry. Values from VASP.

Calculated values
**VASP energy**: -9.0280 eV/atom
**Space group**: P4/n (85)
**Formation energy without anion corrections**: -1.90 eV per atom

Quantum ESPRESSO input file:
```
&SYSTEM
  ibrav = 0, nat = 48, ntyp = 5
/
ATOMIC_SPECIES
K 39.10 K.upf
Na 22.99 Na.upf
S 32.06 S.upf
Cl 35.45 Cl.upf
O 16.00 O.upf
CELL_PARAMETERS angstrom
12.0818 0.0000 0.0000
0.0000 12.0818 0.0000
0.0000 0.0000 5.5446
ATOMIC_POSITIONS angstrom
K 0.0280 2.3271 0.0850
K 2.3271 6.0129 0.0850
K 3.7138 0.0280 0.0850
K 6.0129 3.7138 0.0850
K 6.0689 8.3680 5.4596
K 8.3680 12.0538 5.4596
K 9.7547 6.0689 5.4596
K 12.0538 9.7547 5.4596
Na 3.0204 3.0204 2.4498
Na 3.0204 9.0613 2.7723
Na 9.0613 3.0204 2.7723
Na 9.0613 9.0613 3.0948
S 0.1317 7.1019 2.6320
S 1.0610 11.9501 2.9126
S 4.9799 6.1726 2.9126
S 5.9092 11.0208 2.6320
S 6.1726 1.0610 2.9126
S 7.1019 5.9092 2.6320
S 11.0208 0.1317 2.6320
S 11.9501 4.9799 2.9126
Cl 3.0204 3.0204 5.1806
Cl 3.0204 9.0613 0.0000
Cl 9.0613 3.0204 0.0000
Cl 9.0613 9.0613 0.3639
O 0.0009 4.7929 4.3600
O 12.0809 7.2889 1.1846
O 0.9293 4.3468 2.1209
O 1.2480 0.0009 4.3600
O 1.2970 10.5995 2.3992
O 1.4823 7.3379 3.1454
O 1.6941 0.9293 2.1209
O 4.3468 5.1116 2.1209
O 4.5586 10.7848 3.1454
O 4.7439 7.5232 2.3992
O 4.7929 6.0400 4.3600
O 5.1116 1.6941 2.1209
O 6.0400 1.2480 4.3600
O 6.0418 10.8338 1.1846
O 6.9702 10.3877 3.4237
O 7.2889 6.0418 1.1846
O 7.3379 4.5586 3.1454
O 7.5232 1.2970 2.3992
O 7.7350 6.9702 3.4237
O 10.3877 11.1525 3.4237
O 10.5995 4.7439 2.3992
O 10.7848 1.4823 3.1454
O 10.8338 12.0809 1.1846
O 11.1525 7.7350 3.4237
```

=====

[8]
The following is a DFT calculation (meta-GGA SCAN) of K2NaSmCl6 at its PBEsol-relaxed geometry. Values from VASP.

Calculated values
**VASP energy**: -13.5967 eV/atom
**Space group**: Fm-3m (225)
**Formation energy without anion corrections**: -2.28 eV per atom

Quantum ESPRESSO input file:
```
&SYSTEM
  ibrav = 0, nat = 10, ntyp = 4
/
ATOMIC_SPECIES
K 39.10 K.upf
Na 22.99 Na.upf
Sm 150.36 Sm.upf
Cl 35.45 Cl.upf
CELL_PARAMETERS angstrom
0.0000 5.3186 5.3186
5.3186 0.0000 5.3186
5.3186 5.3186 0.0000
ATOMIC_POSITIONS angstrom
K 2.6593 2.6593 2.6593
K 7.9779 7.9779 7.9779
Na 0.0000 0.0000 0.0000
Sm 5.3186 5.3186 5.3186
Cl 5.3186 5.3186 2.6706
Cl 5.3186 2.6706 5.3186
Cl 7.9666 5.3186 5.3186
Cl 2.6706 5.3186 5.3186
Cl 5.3186 7.9666 5.3186
Cl 5.3186 5.3186 7.9666
```

=====

[9]
The following is a DFT calculation (meta-GGA SCAN) of K2NaTlCl6 at its PBEsol-relaxed geometry. Values from VASP.

Calculated values
**VASP energy**: -15.6785 eV/atom
**Space group**: Fm-3m (225)
**Formation energy without anion corrections**: -1.57 eV per atom

Quantum ESPRESSO input file:
```
&SYSTEM
  ibrav = 0, nat = 10, ntyp = 4
/
ATOMIC_SPECIES
K 39.10 K.upf
Na 22.99 Na.upf
Tl 204.38 Tl.upf
Cl 35.45 Cl.upf
CELL_PARAMETERS angstrom
0.0000 5.2271 5.2271
5.2271 0.0000 5.2271
5.2271 5.2271 0.0000
ATOMIC_POSITIONS angstrom
K 2.6135 2.6135 2.6135
K 7.8406 7.8406 7.8406
Na 0.0000 0.0000 0.0000
Tl 5.2271 5.2271 5.2271
Cl 5.2271 5.2271 2.6623
Cl 5.2271 2.6623 5.2271
Cl 7.7919 5.2271 5.2271
Cl 2.6623 5.2271 5.2271
Cl 5.2271 7.7919 5.2271
Cl 5.2271 5.2271 7.7919
```

=====

[10]
The following is a DFT calculation (meta-GGA SCAN) of KNb2Cl11 at its PBEsol-relaxed geometry. Values from VASP.

Calculated values
**VASP energy**: -13.1053 eV/atom
**Space group**: P-1 (2)
**Formation energy without anion corrections**: -1.51 eV per atom

Quantum ESPRESSO input file:
```
&SYSTEM
  ibrav = 0, nat = 28, ntyp = 3
/
ATOMIC_SPECIES
K 39.10 K.upf
Nb 92.91 Nb.upf
Cl 35.45 Cl.upf
CELL_PARAMETERS angstrom
6.8636 0.0000 0.0000
0.2609 6.9654 0.0000
3.1269 3.2046 16.6178
ATOMIC_POSITIONS angstrom
K 1.7683 1.7269 0.0586
K 8.4832 8.4431 16.5593
Nb 1.9051 5.1785 2.5642
Nb 4.3224 7.6379 9.8033
Nb 5.9291 2.5322 6.8146
Nb 8.3463 4.9915 14.0536
Cl 2.3998 8.1755 10.8748
Cl 3.0527 3.2418 14.5063
Cl 3.2805 6.5173 14.1652
Cl 1.7505 5.5134 4.8208
Cl 3.2288 6.5180 8.0963
Cl 2.0857 4.9107 0.1153
Cl 3.8420 2.7262 8.3059
Cl 3.4184 3.4209 2.7844
Cl 4.9773 5.7351 10.8465
Cl 3.6538 6.7635 2.3151
Cl 5.6344 9.0054 11.1342
Cl 4.6171 1.1647 5.4836
Cl 6.5977 3.4065 14.3027
Cl 5.2742 4.4350 5.7713
Cl 6.8331 6.7492 13.8335
Cl 6.4095 7.4439 8.3119
Cl 8.1658 5.2593 16.5025
Cl 7.0227 3.6521 8.5216
Cl 8.5010 4.6567 11.7971
Cl 6.9710 3.6527 2.4526
Cl 7.1987 6.9282 2.1115
Cl 7.8517 1.9946 5.7430
```

=====

Look up the VASP energy of the ninth one.
-15.6785 eV/atom

=====

Which of these has the highest formation energy without anion corrections?
KNb2Cl11